[1]
! Te2IrOs (GGA-PBE, relaxed); values from VASP
&SYSTEM
  ibrav = 0, nat = 16, ntyp = 3
/
ATOMIC_SPECIES
Te 127.60 Te.upf
Ir 192.22 Ir.upf
Os 190.23 Os.upf
CELL_PARAMETERS angstrom
6.7077 0.0000 0.0000
0.0000 6.7077 0.0000
0.0000 0.0000 6.7077
ATOMIC_POSITIONS crystal
Te 0.2500 0.2500 0.2500
Te 0.2500 0.2500 0.7500
Te 0.2500 0.7500 0.2500
Te 0.2500 0.7500 0.7500
Te 0.7500 0.2500 0.2500
Te 0.7500 0.2500 0.7500
Te 0.7500 0.7500 0.2500
Te 0.7500 0.7500 0.7500
Ir 0.0000 0.0000 0.0000
Ir 0.0000 0.5000 0.5000
Ir 0.5000 0.0000 0.5000
Ir 0.5000 0.5000 0.0000
Os 0.0000 0.0000 0.5000
Os 0.0000 0.5000 0.0000
Os 0.5000 0.0000 0.0000
Os 0.5000 0.5000 0.5000
! Total magnetic moment = 2.73 μB per cell
! Uncorrected formation energy = 0.78 eV per atom
! Energy relative to the lowest polymorph listed for this composition = 633 meV per atom
! Symmetry = Fm-3m (225)
! N(E_F) = 0.74 states/eV/atom

***

[2]
! TeIr2Os (GGA-PBE, relaxed); values from VASP
&SYSTEM
  ibrav = 0, nat = 4, ntyp = 3
/
ATOMIC_SPECIES
Te 127.60 Te.upf
Ir 192.22 Ir.upf
Os 190.23 Os.upf
CELL_PARAMETERS angstrom
3.9486 0.0000 0.0000
0.0000 3.9486 0.0000
0.0000 0.0000 4.1013
ATOMIC_POSITIONS crystal
Te 0.0000 0.0000 0.0000
Ir 0.0000 0.5000 0.5000
Ir 0.5000 0.0000 0.5000
Os 0.5000 0.5000 0.0000
! Total magnetic moment = 0.00 μB per cell
! Uncorrected formation energy = 0.54 eV per atom
! Symmetry = P4/mmm (123)
! N(E_F) = 0.52 states/eV/atom

***

[3]
! TeIrOs2 (GGA-PBE, relaxed); values from VASP
&SYSTEM
  ibrav = 0, nat = 4, ntyp = 3
/
ATOMIC_SPECIES
Te 127.60 Te.upf
Ir 192.22 Ir.upf
Os 190.23 Os.upf
CELL_PARAMETERS angstrom
2.9065 0.0000 0.0000
0.0000 2.9065 0.0000
0.0000 0.0000 7.8776
ATOMIC_POSITIONS crystal
Te 0.0000 0.0000 0.0000
Ir 0.5000 0.5000 0.2716
Os 0.0000 0.0000 0.5074
Os 0.5000 0.5000 0.7178
! Total magnetic moment = 0.00 μB per cell
! Uncorrected formation energy = 0.60 eV per atom
! Symmetry = P4mm (99)
! N(E_F) = 0.94 states/eV/atom